{"formula": "Mn2SbP", "functional": "PBE", "state": "relaxed", "space_group": "C2/m, No. 12", "raw_formation_energy_mev_per_atom": -103, "crystal_system": "monoclinic", "total_magnetization_mub_per_cell": 4.5, "cell": [[3.067, -1.771, 0.000], [3.067, 1.771, 0.000], [-2.055, 0.000, 5.977]], "species": ["Mn", "Mn", "Sb", "P"], "frac_coords": [[0.222, 0.222, 0.166], [0.778, 0.778, 0.834], [0.000, 0.000, 0.500], [0.500, 0.500, 0.000]]}